Computed, not measured: Sb2PHI after structural relaxation at the PBE-GGA level of DFT.

Lattice parameters (Å, degrees): 4.3772 4.3772 5.8641 90.00 90.00 90.00
Positions (direct):
Sb 0.0000 0.5000 0.0000
Sb 0.5000 0.0000 0.0000
P 0.0000 0.0000 0.5000
H 0.5000 0.5000 0.0000
I 0.5000 0.5000 0.5000

**Polymorph energy (0 for the lowest one)**: 0.0 meV/atom
**VASP energy**: -2.917 eV/atom
**DOS(E_F)**: 3.0 states/eV/cell

Computed, not measured: Na4Dy3ErS8 after structural relaxation at the PBE-GGA level of DFT.

Lattice parameters (Å, degrees): 8.1042 8.1042 8.1042 58.76 58.76 58.76
Positions (direct):
Na 0.0000 0.0000 0.0000
Na 0.0000 0.5000 0.5000
Na 0.5000 0.0000 0.5000
Na 0.5000 0.5000 0.0000
Dy 0.0000 0.0000 0.5000
Dy 0.0000 0.5000 0.0000
Dy 0.5000 0.0000 0.0000
Er 0.5000 0.5000 0.5000
S 0.2423 0.2423 0.2423
S 0.2439 0.7410 0.7410
S 0.2590 0.2590 0.7561
S 0.2590 0.7561 0.2590
S 0.7410 0.2439 0.7410
S 0.7410 0.7410 0.2439
S 0.7561 0.2590 0.2590
S 0.7577 0.7577 0.7577

**VASP energy**: -5.393 eV/atom
**DOS(E_F)**: 0.0 states/eV/cell

- What is the DOS(E_F) in the second record?
  0.0 states/eV/cell

Please write out number 1 again, unchanged.
Computed, not measured: Sb2PHI after structural relaxation at the PBE-GGA level of DFT.

Lattice parameters (Å, degrees): 4.3772 4.3772 5.8641 90.00 90.00 90.00
Positions (direct):
Sb 0.0000 0.5000 0.0000
Sb 0.5000 0.0000 0.0000
P 0.0000 0.0000 0.5000
H 0.5000 0.5000 0.0000
I 0.5000 0.5000 0.5000

**Polymorph energy (0 for the lowest one)**: 0.0 meV/atom
**VASP energy**: -2.917 eV/atom
**DOS(E_F)**: 3.0 states/eV/cell

- Which formula does entry 1 have?
  Sb2PHI

- VASP energy of number 1 (Sb2PHI)?
  -2.917 eV/atom